{
  "formula": "SrY2Be",
  "functional": "PBE",
  "state": "optimized geometry",
  "lattice_angstrom": [[3.555, 0.008, 0.000], [-0.008, 3.555, 0.000], [0.000, 0.000, 9.478]],
  "species": ["Y", "Y", "Sr", "Be"],
  "fractional_positions": [[0.000, 0.000, 0.081], [0.000, 0.000, 0.419], [0.500, 0.500, 0.750], [0.500, 0.500, 0.250]],
  "total_energy_ry_per_atom": -0.325,
  "sg": "P4/mmm (123)",
  "formation_enthalpy_0k_ev_per_atom": 0.16
}